## NaTiBi2 (SCAN)

Data for a PBEsol-optimized structure of NaTiBi2.

Cell: 5.8822 5.8822 17.2537 Å, 90.00 90.00 90.00°
Fractional positions:
Na1 0.0000 0.0000 0.0000
Na2 0.0000 0.5000 0.2500
Na3 0.5000 0.0000 0.7500
Na4 0.5000 0.5000 0.5000
Ti1 0.0000 0.0000 0.5000
Ti2 0.0000 0.5000 0.7500
Ti3 0.5000 0.0000 0.2500
Ti4 0.5000 0.5000 0.0000
Bi1 0.1189 0.2500 0.6250
Bi2 0.2500 0.6189 0.8750
Bi3 0.2500 0.8811 0.3750
Bi4 0.3811 0.2500 0.1250
Bi5 0.6189 0.7500 0.1250
Bi6 0.7500 0.1189 0.3750
Bi7 0.7500 0.3811 0.8750
Bi8 0.8811 0.7500 0.6250

Calculated total energy   -44.20 eV per atom